one) KSmFeSe3 after structural relaxation. Source: the Open Quantum Materials Database, functional PBE-GGA.

a = 8.662 Å, b = 4.129 Å, c = 10.384 Å
α = 90.00°, β = 108.50°, γ = 90.00°
Last column: magnetic moment on the atom in μB.
Element x y z (fractional)
K (0.755, 0.250, 0.287)  0.00
K (0.245, 0.750, 0.713)  0.00
Se (0.722, 0.750, 0.551)  0.17
Se (0.049, 0.250, 0.851)  0.03
Se (0.278, 0.250, 0.449)  0.17
Se (0.951, 0.750, 0.149)  0.03
Se (0.434, 0.750, 0.181)  0.11
Se (0.566, 0.250, 0.819)  0.11
Fe (0.569, 0.250, 0.587)  3.25
Fe (0.431, 0.750, 0.413)  3.25
Sm (0.815, 0.750, 0.858)  0.03
Sm (0.185, 0.250, 0.142)  0.03

---

two) KSmFeSe3 after structural relaxation. Source: the Open Quantum Materials Database, functional PBE-GGA.

a = 11.464 Å, b = 4.317 Å, c = 12.604 Å
α = 90.00°, β = 90.00°, γ = 90.00°
Last column: magnetic moment on the atom in μB.
Element x y z (fractional)
Se (0.607, 0.000, 0.061)  0.09
Se (0.715, 0.500, 0.302)  0.14
Se (0.893, 0.500, 0.561)  0.10
Se (0.107, 0.000, 0.439)  0.10
Se (0.215, 0.500, 0.198)  0.14
Se (0.447, 0.000, 0.333)  0.12
Se (0.785, 0.000, 0.802)  0.14
Se (0.393, 0.500, 0.939)  0.09
Se (0.947, 0.000, 0.167)  0.12
Se (0.053, 0.500, 0.833)  0.12
Se (0.285, 0.000, 0.698)  0.14
Se (0.553, 0.500, 0.667)  0.12
Sm (0.020, 0.000, 0.675)  0.01
Sm (0.980, 0.500, 0.325)  0.01
Sm (0.480, 0.500, 0.175)  0.01
Sm (0.520, 0.000, 0.825)  0.01
K (0.173, 0.000, 0.003)  0.01
K (0.673, 0.000, 0.497)  0.01
K (0.827, 0.500, 0.997)  0.01
K (0.327, 0.500, 0.503)  0.01
Fe (0.243, 0.000, 0.290)  3.24
Fe (0.257, 0.500, 0.790)  3.22
Fe (0.743, 0.000, 0.210)  3.21
Fe (0.757, 0.500, 0.710)  3.24

---

three) KSmFeSe3 after structural relaxation. Source: the Open Quantum Materials Database, functional PBE-GGA.

a = 7.679 Å, b = 7.679 Å, c = 11.027 Å
α = 90.00°, β = 90.00°, γ = 31.50°
Last column: magnetic moment on the atom in μB.
Element x y z (fractional)
Se (0.628, 0.628, 0.572)  0.11
Se (0.935, 0.935, 0.750)  0.12
Se (0.628, 0.628, 0.928)  0.11
Se (0.372, 0.372, 0.428)  0.11
Se (0.372, 0.372, 0.072)  0.11
Se (0.065, 0.065, 0.250)  0.12
K (0.255, 0.255, 0.750)  0.00
K (0.745, 0.745, 0.250)  0.00
Sm (0.000, 0.000, 0.500)  -0.01
Sm (0.000, 0.000, 0.000)  -0.01
Fe (0.532, 0.532, 0.750)  3.24
Fe (0.468, 0.468, 0.250)  3.25

---

Verdict on stability: two) comes out at the bottom.

---

one) KTmFeSe3 after structural relaxation. Source: the Open Quantum Materials Database, functional PBE-GGA.

a = 4.079 Å, b = 7.707 Å, c = 10.643 Å
α = 90.00°, β = 90.00°, γ = 74.65°
Last column: magnetic moment on the atom in μB.
Element x y z (fractional)
Se (0.376, 0.249, 0.564)  0.11
Se (0.376, 0.249, 0.936)  0.11
Se (0.624, 0.751, 0.436)  0.11
Se (0.624, 0.751, 0.064)  0.11
Se (0.933, 0.134, 0.250)  0.13
Se (0.067, 0.866, 0.750)  0.13
Tm (0.000, 0.000, 0.500)  0.01
Tm (0.000, 0.000, 0.000)  0.00
K (0.748, 0.503, 0.750)  0.01
K (0.252, 0.497, 0.250)  0.01
Fe (0.469, 0.061, 0.750)  3.23
Fe (0.531, 0.939, 0.250)  3.24

---

two) KTmFeSe3 after structural relaxation. Source: the Open Quantum Materials Database, functional PBE-GGA.

a = 9.120 Å, b = 4.027 Å, c = 9.651 Å
α = 90.00°, β = 108.86°, γ = 90.00°
Last column: magnetic moment on the atom in μB.
Element x y z (fractional)
Fe (0.928, 0.750, 0.912)  3.16
Fe (0.072, 0.250, 0.088)  3.16
Se (0.211, 0.750, 0.035)  0.15
Se (0.541, 0.250, 0.340)  0.02
Se (0.459, 0.750, 0.660)  0.02
Se (0.891, 0.750, 0.651)  0.10
Se (0.109, 0.250, 0.349)  0.10
Se (0.789, 0.250, 0.965)  0.15
K (0.792, 0.750, 0.264)  0.00
K (0.208, 0.250, 0.736)  0.00
Tm (0.332, 0.750, 0.355)  0.05
Tm (0.668, 0.250, 0.645)  0.05

---

Verdict on stability: one) comes out at the bottom.

---

one) LiLaFeMo after structural relaxation. Source: the Open Quantum Materials Database, functional PBE-GGA.

a = 4.579 Å, b = 4.579 Å, c = 4.579 Å
α = 60.00°, β = 60.00°, γ = 60.00°
Element x y z (fractional)
Fe (0.500, 0.500, 0.500)
Li (0.750, 0.750, 0.750)
La (0.250, 0.250, 0.250)
Mo (0.000, 0.000, 0.000)

---

two) LiLaFeMo after structural relaxation. Source: the Open Quantum Materials Database, functional PBE-GGA.

a = 4.584 Å, b = 4.584 Å, c = 4.584 Å
α = 60.00°, β = 60.00°, γ = 60.00°
Element x y z (fractional)
Li (0.750, 0.750, 0.750)
Fe (0.000, 0.000, 0.000)
Mo (0.250, 0.250, 0.250)
La (0.500, 0.500, 0.500)

---

Verdict on stability: one) comes out at the bottom.

---

one) LaMgFeSb after structural relaxation. Source: the Open Quantum Materials Database, functional PBE-GGA.

a = 5.095 Å, b = 5.095 Å, c = 5.095 Å
α = 60.00°, β = 60.00°, γ = 60.00°
Element x y z (fractional)
Mg (0.750, 0.750, 0.750)
Sb (0.250, 0.250, 0.250)
La (0.500, 0.500, 0.500)
Fe (0.000, 0.000, 0.000)

---

two) LaMgFeSb after structural relaxation. Source: the Open Quantum Materials Database, functional PBE-GGA.

a = 4.919 Å, b = 4.919 Å, c = 4.919 Å
α = 60.00°, β = 60.00°, γ = 60.00°
Element x y z (fractional)
Fe (0.250, 0.250, 0.250)
Sb (0.000, 0.000, 0.000)
La (0.500, 0.500, 0.500)
Mg (0.750, 0.750, 0.750)

---

Verdict on stability: one) comes out at the bottom.